# CdTcGe2 GGA-PBE optimized geometry
data_CdTcGe2
_chemical_formula_sum 'Cd3 Tc3 Ge6'
_space_group_name_H-M_alt 'R -3 m'
_space_group_IT_number 166
_space_group_name_Hall '-R 3 2"'
_cell_length_a 3.1136
_cell_length_b 3.1136
_cell_length_c 26.9782
_cell_angle_alpha 90.00
_cell_angle_beta 90.00
_cell_angle_gamma 120.00
loop_
_atom_site_label
_atom_site_fract_x
_atom_site_fract_y
_atom_site_fract_z
_atom_site_occupancy
Cd1 0.0000 0.0000 0.0000 1
Tc1 0.0000 0.0000 0.5000 1
Ge1 0.0000 0.0000 0.0998 1
# - formation energy from the elements (eV/atom) = 0.021
# - uncorrected energy (eV per cell) = -61.29
# - mass density (g/cm3) = 7.82

---

# Cd3TcGe GGA-PBE optimized geometry
data_Cd3TcGe
_chemical_formula_sum 'Cd3 Tc1 Ge1'
_space_group_name_H-M_alt 'P m -3 m'
_space_group_IT_number 221
_space_group_name_Hall '-P 4 2 3'
_cell_length_a 5.097
_cell_length_b 5.097
_cell_length_c 5.097
_cell_angle_alpha 90.00
_cell_angle_beta 90.00
_cell_angle_gamma 90.00
loop_
_atom_site_label
_atom_site_fract_x
_atom_site_fract_y
_atom_site_fract_z
_atom_site_occupancy
Cd1 0.000 0.000 0.500 1
Tc1 0.500 0.500 0.500 1
Ge1 0.000 0.000 0.000 1
# - formation energy from the elements (eV/atom) = 1.136
# - ΔE to the lowest computed polymorph (meV per atom) = 127
# - uncorrected energy (eV per cell) = -12.05
# - mass density (g/cm3) = 6.37

---

# Cd2TcGe2 GGA-PBE optimized geometry
data_Cd2TcGe2
_chemical_formula_sum 'Cd4 Tc2 Ge4'
_space_group_name_H-M_alt 'I 4/m m m'
_space_group_IT_number 139
_space_group_name_Hall '-I 4 2'
_cell_length_a 3.563
_cell_length_b 3.563
_cell_length_c 16.369
_cell_angle_alpha 90.00
_cell_angle_beta 90.00
_cell_angle_gamma 90.00
loop_
_atom_site_label
_atom_site_fract_x
_atom_site_fract_y
_atom_site_fract_z
_atom_site_occupancy
Cd1 0.000 0.000 0.093 1
Tc1 0.000 0.000 0.500 1
Ge1 0.000 0.500 0.250 1
# - formation energy from the elements (eV/atom) = 0.648
# - ΔE to the lowest computed polymorph (meV per atom) = 367
# - uncorrected energy (eV per cell) = -36.38
# - mass density (g/cm3) = 7.48

---

# CdTcGe2 GGA-PBE optimized geometry
data_CdTcGe2
_chemical_formula_sum 'Cd1 Tc1 Ge2'
_space_group_name_H-M_alt 'P 4/m m m'
_space_group_IT_number 123
_space_group_name_Hall '-P 4 2'
_cell_length_a 3.221
_cell_length_b 3.221
_cell_length_c 6.864
_cell_angle_alpha 90.00
_cell_angle_beta 90.00
_cell_angle_gamma 90.00
loop_
_atom_site_label
_atom_site_fract_x
_atom_site_fract_y
_atom_site_fract_z
_atom_site_occupancy
Cd1 0.000 0.000 0.000 1
Tc1 0.000 0.000 0.500 1
Ge1 0.500 0.500 0.301 1
# - formation energy from the elements (eV/atom) = 0.101
# - uncorrected energy (eV per cell) = -20.11
# - mass density (g/cm3) = 8.30

---

# TlCdTcGe2 GGA-PBE optimized geometry
data_TlCdTcGe2
_chemical_formula_sum 'Tl1 Cd1 Tc1 Ge2'
_space_group_name_H-M_alt 'P 4/m m m'
_space_group_IT_number 123
_space_group_name_Hall '-P 4 2'
_cell_length_a 4.811
_cell_length_b 4.811
_cell_length_c 5.396
_cell_angle_alpha 90.00
_cell_angle_beta 90.00
_cell_angle_gamma 90.00
loop_
_atom_site_label
_atom_site_fract_x
_atom_site_fract_y
_atom_site_fract_z
_atom_site_occupancy
Tl1 0.000 0.000 0.000 1
Cd1 0.500 0.500 0.000 1
Tc1 0.500 0.500 0.500 1
Ge1 0.000 0.500 0.500 1
# - formation energy from the elements (eV/atom) = 0.165
# - uncorrected energy (eV per cell) = -22.06
# - mass density (g/cm3) = 7.45

---

# CdGeTe3 GGA-PBE optimized geometry
data_CdGeTe3
_chemical_formula_sum 'Cd1 Ge1 Te3'
_space_group_name_H-M_alt 'P m -3 m'
_space_group_IT_number 221
_space_group_name_Hall '-P 4 2 3'
_cell_length_a 5.443
_cell_length_b 5.443
_cell_length_c 5.443
_cell_angle_alpha 90.00
_cell_angle_beta 90.00
_cell_angle_gamma 90.00
loop_
_atom_site_label
_atom_site_fract_x
_atom_site_fract_y
_atom_site_fract_z
_atom_site_occupancy
Cd1 0.000 0.000 0.000 1
Ge1 0.500 0.500 0.500 1
Te1 0.000 0.500 0.500 1
# - ΔE to the lowest computed polymorph (meV per atom) = 0
# - uncorrected energy (eV per cell) = -13.10
# - mass density (g/cm3) = 5.85